PBE-GGA PmPrPd4, optimized geometry; energy relative to the elements = -4.57 eV/f.u.; magnetization = 0.0 μB per formula unit; N(E_F) = 1.76 states/eV/f.u.; energy = -0.214 Ha/atom
1.0
-0.8462 3.4810 4.2174
-5.1587 1.3032 1.5194
-2.0369 -1.8931 4.7840
Pr Pd Pm
1 4 1
direct
0.0000 0.0000 0.0000 Pr
0.6249 0.6248 0.1254 Pd
0.6249 0.1254 0.6248 Pd
0.6249 0.6248 0.6248 Pd
0.1254 0.6248 0.6248 Pd
0.2500 0.2500 0.2500 Pm

---

PBE-GGA Dy2YHo4Sc, optimized geometry; energy relative to the elements = 0.27 eV/f.u.; magnetization = 0.0 μB per formula unit; N(E_F) = 11.75 states/eV/f.u.; energy = -0.184 Ha/atom
1.0
-2.9336 -0.1504 -3.9940
0.0872 -4.9559 0.1226
-7.8769 -4.9534 5.9722
Dy Y Ho Sc
2 1 4 1
direct
0.0000 0.0000 0.0000 Dy
0.5000 0.0000 0.5000 Dy
0.5000 0.5000 0.0000 Y
0.0000 0.7556 0.7443 Ho
0.0000 0.2444 0.2557 Ho
0.5000 0.7445 0.2556 Ho
0.5000 0.2555 0.7444 Ho
0.0000 0.5000 0.5000 Sc

---

PBE-GGA Pa2TcHg2, optimized geometry; energy relative to the elements = -0.61 eV/f.u.; magnetization = 0.0 μB per formula unit; N(E_F) = 6.21 states/eV/f.u.; energy = -0.225 Ha/atom
1.0
3.1864 0.0000 -0.5113
-0.0820 3.1854 -0.5113
0.1453 0.1491 11.0911
Pa Tc Hg
2 1 2
direct
0.5848 0.5848 0.1696 Pa
0.4152 0.4152 0.8304 Pa
0.0000 0.0000 0.0000 Tc
0.8026 0.8026 0.6051 Hg
0.1974 0.1974 0.3949 Hg

---

PBE-GGA Pm6Sm2Dy, optimized geometry; energy relative to the elements = 1.02 eV/f.u.; magnetization = 0.0 μB per formula unit; ΔE to the lowest computed polymorph = 0.000 eV/atom; N(E_F) = 12.65 states/eV/f.u.; energy = -0.170 Ha/atom
1.0
6.7293 -0.0917 -0.0887
1.8117 9.5544 -0.9147
1.8117 -0.6046 9.5790
Pm Sm Dy
12 4 2
direct
0.5067 0.6477 0.2794 Pm
0.9933 0.7206 0.3523 Pm
0.4933 0.3523 0.7206 Pm
0.0067 0.2794 0.6477 Pm
0.7209 0.0595 0.4630 Pm
0.7791 0.5370 0.9405 Pm
0.2791 0.9405 0.5370 Pm
0.2209 0.4630 0.0595 Pm
0.3198 0.7767 0.9601 Pm
0.1802 0.0399 0.2233 Pm
0.6802 0.2233 0.0399 Pm
0.8198 0.9601 0.7767 Pm
0.1308 0.6210 0.6682 Sm
0.3692 0.3318 0.3790 Sm
0.8692 0.3790 0.3318 Sm
0.6308 0.6682 0.6210 Sm
0.2500 0.1181 0.8819 Dy
0.7500 0.8819 0.1181 Dy

---

PBE-GGA CrGeRu2W, optimized geometry; energy relative to the elements = 6.62 eV/f.u.; magnetization = 0.0 μB per formula unit; N(E_F) = 4.00 states/eV/f.u.; energy = -0.288 Ha/atom
1.0
4.3824 0.0000 0.0000
0.0000 4.3315 0.0000
0.0000 0.0000 4.3824
Ru Ge W Cr
2 1 1 1
direct
0.0000 0.0000 0.5000 Ru
0.5000 0.0000 0.0000 Ru
0.0000 0.0000 0.0000 Ge
0.5000 0.5000 0.5000 W
0.0000 0.5000 0.0000 Cr

---

PBE-GGA Pr4SnGeO, optimized geometry; energy relative to the elements, uncorrected = -1.233 eV per atom; magnetization = 0.8 μB per formula unit; N(E_F) = 6.38 states/eV/f.u.; energy = -0.217 Ha/atom
1.0
-3.4730 -5.6405 0.3831
1.1829 -0.2822 6.5683
-5.5614 7.4164 1.3201
Pr Sn Ge O
8 2 2 2
direct
0.9377 0.2500 0.8755 Pr
0.4223 0.7500 0.8447 Pr
0.0623 0.7500 0.1245 Pr
0.5777 0.2500 0.1553 Pr
0.5000 0.5000 0.5000 Pr
0.0000 0.0000 0.5000 Pr
0.5000 0.0000 0.5000 Pr
0.0000 0.5000 0.5000 Pr
0.6102 0.7500 0.2203 Sn
0.3898 0.2500 0.7797 Sn
0.1158 0.2500 0.2315 Ge
0.8842 0.7500 0.7685 Ge
0.2834 0.7500 0.5668 O
0.7166 0.2500 0.4332 O

---

PBE-GGA CaHo2Fe, optimized geometry; energy relative to the elements = 0.27 eV/f.u.; magnetization = 0.0 μB per formula unit; ΔE to the lowest computed polymorph = 0.000 eV/atom; N(E_F) = 3.10 states/eV/f.u.; energy = -0.178 Ha/atom
1.0
-3.0552 -0.1957 1.3774
-1.0911 -1.7251 -2.6652
2.4422 -8.1293 4.2620
Ca Ho Fe
1 2 1
direct
0.5000 0.5000 0.5000 Ca
0.0000 0.0000 0.8324 Ho
0.0000 0.0000 0.1676 Ho
0.5000 0.5000 0.0000 Fe

---

PBE-GGA Zr2HgSb, optimized geometry; energy relative to the elements, uncorrected = -0.175 eV per atom; magnetization = 0.0 μB per formula unit; ΔE to the lowest computed polymorph = 0.179 eV/atom; N(E_F) = 2.34 states/eV/f.u.; energy = -0.204 Ha/atom
1.0
-4.4281 -6.3832 -1.0928
6.4760 -4.3579 -0.7862
1.0369 -5.9058 2.1347
Sb Hg Zr
2 2 4
direct
0.5000 0.5000 0.0000 Sb
0.2500 0.7500 0.5000 Sb
0.0000 0.0000 0.0000 Hg
0.7500 0.2500 0.5000 Hg
0.6236 0.1250 0.2500 Zr
0.1264 0.6250 0.2500 Zr
0.3750 0.3764 0.7500 Zr
0.8750 0.8736 0.7500 Zr

---

PBE-GGA PrAgF4, optimized geometry; energy relative to the elements, uncorrected = -3.031 eV per atom; magnetization = 0.1 μB per formula unit; ΔE to the lowest computed polymorph = 0.000 eV/atom; N(E_F) = 0.00 states/eV/f.u.; energy = -0.204 Ha/atom
1.0
-2.4615 -1.9846 2.5326
1.3174 -3.5309 -1.4862
4.2934 -0.1120 4.0802
Pr Ag F
1 1 4
direct
0.0000 0.5000 0.0000 Pr
0.5000 0.0000 0.5000 Ag
0.4998 0.4998 0.7766 F
0.9998 0.9998 0.7766 F
0.0002 0.0002 0.2234 F
0.5002 0.5002 0.2234 F

---

PBE-GGA FeNi2SbH, optimized geometry; magnetization = 0.0 μB per formula unit; N(E_F) = 3.56 states/eV/f.u.; energy = -0.203 Ha/atom
1.0
3.7460 0.0000 0.0000
0.0000 3.7460 0.0000
0.0000 0.0000 3.7885
Sb Fe H Ni
1 1 1 2
direct
0.5000 0.5000 0.5000 Sb
0.0000 0.0000 0.5000 Fe
0.0000 0.0000 0.0000 H
0.0000 0.5000 0.0000 Ni
0.5000 0.0000 0.0000 Ni

---

PBE-GGA Sr2BeAlAu6, optimized geometry; energy relative to the elements = -4.97 eV/f.u.; magnetization = 0.0 μB per formula unit; N(E_F) = 3.47 states/eV/f.u.; energy = -0.130 Ha/atom
1.0
-6.2726 -1.4001 2.3235
0.9015 -6.5914 -1.5664
-0.8776 -4.7989 4.7848
Sr Be Al Au
2 1 1 6
direct
0.7501 0.2500 0.4999 Sr
0.2500 0.7500 0.5001 Sr
0.5000 0.5000 0.0000 Be
0.0000 0.0000 0.0000 Al
0.2626 0.2626 0.4747 Au
0.7373 0.7372 0.9999 Au
0.2629 0.7372 0.0000 Au
0.7371 0.2628 0.0000 Au
0.2627 0.2628 0.0001 Au
0.7374 0.7374 0.5253 Au

---

PBE-GGA Na7AgHg3, optimized geometry; energy relative to the elements = -1.50 eV/f.u.; magnetization = 0.0 μB per formula unit; N(E_F) = 3.72 states/eV/f.u.; energy = -0.048 Ha/atom
1.0
3.4896 0.0000 0.0000
-1.7448 12.8008 0.0000
0.0000 0.0000 13.8500
Na Ag Hg
14 2 6
direct
0.3229 0.6457 0.7500 Na
0.6771 0.3543 0.2500 Na
0.5492 0.0983 0.3703 Na
0.4508 0.9017 0.6297 Na
0.4508 0.9017 0.8703 Na
0.5492 0.0983 0.1297 Na
0.4135 0.8270 0.4000 Na
0.5865 0.1730 0.6000 Na
0.2771 0.5543 0.3974 Na
0.7229 0.4457 0.6026 Na
0.7229 0.4457 0.8974 Na
0.2771 0.5543 0.1026 Na
0.4135 0.8270 0.1000 Na
0.5865 0.1730 0.9000 Na
0.9696 0.9391 0.2500 Ag
0.0304 0.0609 0.7500 Ag
0.1524 0.3048 0.4427 Hg
0.8476 0.6952 0.5573 Hg
0.1523 0.3046 0.7500 Hg
0.8477 0.6954 0.2500 Hg
0.1524 0.3048 0.0573 Hg
0.8476 0.6952 0.9427 Hg